An optimized crystal structure of PmBi2IO4. Source: Alexandria, functional PBE-GGA.

Cell: 3.995 3.995 9.799 Å, 90.00 90.00 90.00°
Sites, in units of the cell vectors:
Pm 0.000 0.000 0.000
Bi 0.500 0.500 0.258
Bi 0.500 0.500 0.742
I 0.000 0.000 0.500
O 0.000 0.500 0.147
O 0.000 0.500 0.853
O 0.500 0.000 0.147
O 0.500 0.000 0.853

Space group ... P4/mmm (123)
Uncorrected formation energy ... -1.89 eV per atom
Volume ... 156.40 Å³ per cell